Record 1
This record from Alexandria via LeMat-Bulk describes FeHRh2Br after structural relaxation. The functional is PBE.

Unit cell a=4.486 b=4.486 c=4.714 alpha=90.00 beta=90.00 gamma=90.00
Fractional coordinates of all 5 atoms:
Fe 0.000 0.000 0.000
H 0.500 0.500 0.500
Rh 0.000 0.500 0.000
Rh 0.500 0.000 0.000
Br 0.000 0.000 0.500

Space group: P4/mmm, No. 123

Record 2
This record from Alexandria via LeMat-Bulk describes FeHSeBr2 after structural relaxation. The functional is PBE.

Unit cell a=5.069 b=5.069 c=4.380 alpha=90.00 beta=90.00 gamma=90.00
Fractional coordinates of all 5 atoms:
Fe 0.000 0.000 0.000
H 0.500 0.500 0.500
Se 0.000 0.000 0.500
Br 0.000 0.500 0.000
Br 0.500 0.000 0.000

Space group: P4/mmm, No. 123
Polymorph energy (0 for the lowest one), eV per formula unit: 0.02

Record 3
This record from Alexandria via LeMat-Bulk describes FeHSeBr2 after structural relaxation. The functional is PBE.

Unit cell a=5.263 b=5.263 c=3.482 alpha=90.00 beta=90.00 gamma=90.00
Fractional coordinates of all 5 atoms:
Fe 0.000 0.000 0.000
H 0.500 0.500 0.500
Se 0.500 0.500 0.000
Br 0.000 0.500 0.500
Br 0.500 0.000 0.500

Space group: P4/mmm, No. 123
Polymorph energy (0 for the lowest one), eV per formula unit: 0.00

Record 4
This record from Alexandria via LeMat-Bulk describes Fe2SiHBr after structural relaxation. The functional is PBE.

Unit cell a=4.529 b=4.529 c=3.423 alpha=90.00 beta=90.00 gamma=90.00
Fractional coordinates of all 5 atoms:
Fe 0.000 0.500 0.000
Fe 0.500 0.000 0.000
Si 0.000 0.000 0.000
H 0.000 0.000 0.500
Br 0.500 0.500 0.500

Space group: P4/mmm, No. 123

Record 5
This record from Alexandria via LeMat-Bulk describes FeSiH2Br after structural relaxation. The functional is PBE.

Unit cell a=3.552 b=3.552 c=6.021 alpha=90.00 beta=90.00 gamma=90.00
Fractional coordinates of all 5 atoms:
Fe 0.000 0.000 0.000
Si 0.500 0.500 0.500
H 0.000 0.500 0.500
H 0.500 0.000 0.500
Br 0.500 0.500 0.000

Space group: P4/mmm, No. 123

Record 6
This record from Alexandria via LeMat-Bulk describes FeHWBr2 after structural relaxation. The functional is PBE.

Unit cell a=5.118 b=5.118 c=4.733 alpha=90.00 beta=90.00 gamma=90.00
Fractional coordinates of all 5 atoms:
Fe 0.000 0.000 0.000
H 0.500 0.500 0.000
W 0.000 0.000 0.500
Br 0.000 0.500 0.500
Br 0.500 0.000 0.500

Space group: P4/mmm, No. 123

Record 7
This record from Alexandria via LeMat-Bulk describes ZrFeH2Br after structural relaxation. The functional is PBE.

Unit cell a=3.610 b=3.610 c=6.356 alpha=90.00 beta=90.00 gamma=90.00
Fractional coordinates of all 5 atoms:
Zr 0.000 0.000 0.000
Fe 0.500 0.500 0.000
H 0.000 0.500 0.500
H 0.500 0.000 0.500
Br 0.000 0.000 0.500

Space group: P4/mmm, No. 123

Record 8
This record from Alexandria via LeMat-Bulk describes HfFeSeBr2 after structural relaxation. The functional is PBE.

Unit cell a=4.675 b=4.675 c=4.832 alpha=90.00 beta=90.00 gamma=90.00
Fractional coordinates of all 5 atoms:
Hf 0.000 0.000 0.000
Fe 0.500 0.500 0.500
Se 0.500 0.500 0.000
Br 0.000 0.500 0.500
Br 0.500 0.000 0.500

Space group: P4/mmm, No. 123
Formation energy without anion corrections, meV per atom: 402
Polymorph energy (0 for the lowest one), eV per formula unit: 1.96

Number 1: E_tot -4.164 eV/atom, density 6.0 g cm⁻³. Number 2: E_tot -3.038 eV/atom, density 4.4 g cm⁻³. Number 3: E_tot -3.041 eV/atom, density 5.1 g cm⁻³. Number 4: E_tot -4.783 eV/atom, density 5.2 g cm⁻³. Number 5: E_tot -3.748 eV/atom, density 3.6 g cm⁻³. Number 6: E_tot -4.408 eV/atom, density 5.4 g cm⁻³. Number 7: E_tot -4.168 eV/atom, density 4.6 g cm⁻³. Number 8: E_tot -4.647 eV/atom, density 7.4 g cm⁻³.